[1]
The following is a PBE-GGA calculation of crystalline KMo2Ru at its relaxed geometry, from Alexandria via LeMat-Bulk.

Calculated values
**Polymorph energy (0 for the lowest one)**: 3.48 eV per formula unit
**Energy of formation from the pure elements**: 6.39 eV per formula unit

Cell lengths 4.9119, 4.9119, 2.8340 Å; angles 90.00, 90.00, 90.00 degrees
Fractional positions:
K (0.0000, 0.5000, 0.5000)
Mo (0.0000, 0.0000, 0.0000)
Mo (0.5000, 0.5000, 0.0000)
Ru (0.5000, 0.0000, 0.5000)


[2]
The following is a PBE-GGA calculation of crystalline Pm6Dy2Sc at its relaxed geometry, from Alexandria via LeMat-Bulk.

Calculated values
**Polymorph energy (0 for the lowest one)**: 0.00 eV per formula unit
**Energy of formation from the pure elements**: 0.84 eV per formula unit

Cell lengths 6.1827, 10.0158, 10.0158 Å; angles 71.53, 84.97, 84.97 degrees
Fractional positions:
Pm (0.4881, 0.6903, 0.4069)
Pm (0.0119, 0.5931, 0.3097)
Pm (0.5119, 0.3097, 0.5931)
Pm (0.9881, 0.4069, 0.6903)
Pm (0.6475, 0.0682, 0.3497)
Pm (0.8525, 0.6503, 0.9318)
Pm (0.3525, 0.9318, 0.6503)
Pm (0.1475, 0.3497, 0.0682)
Pm (0.3246, 0.7526, 0.0243)
Pm (0.1754, 0.9757, 0.2474)
Pm (0.6754, 0.2474, 0.9757)
Pm (0.8246, 0.0243, 0.7526)
Dy (0.4273, 0.5689, 0.7712)
Dy (0.0727, 0.2288, 0.4311)
Dy (0.5727, 0.4311, 0.2288)
Dy (0.9273, 0.7712, 0.5689)
Sc (0.2500, 0.1049, 0.8951)
Sc (0.7500, 0.8951, 0.1049)


[3]
The following is a PBE-GGA calculation of crystalline PmPrBr at its relaxed geometry, from Alexandria via LeMat-Bulk.

Calculated values
**Formation energy from raw total energies**: -0.75 eV/atom

Cell lengths 3.8425, 3.8425, 7.6276 Å; angles 90.00, 90.00, 120.00 degrees
Fractional positions:
Pr (0.3333, 0.6667, 0.6497)
Br (0.6667, 0.3333, 0.3281)
Pm (0.0000, 0.0000, 0.0223)


[4]
The following is a PBE-GGA calculation of crystalline YbPbAu2 at its relaxed geometry, from Alexandria via LeMat-Bulk.

Calculated values
**Energy of formation from the pure elements**: -2.24 eV per formula unit

Cell lengths 5.0862, 5.0862, 5.0862 Å; angles 60.00, 60.00, 60.00 degrees
Fractional positions:
Pb (0.5000, 0.5000, 0.5000)
Yb (0.0000, 0.0000, 0.0000)
Au (0.7500, 0.7500, 0.7500)
Au (0.2500, 0.2500, 0.2500)


[5]
The following is a PBE-GGA calculation of crystalline AlNi8As2 at its relaxed geometry, from Alexandria via LeMat-Bulk.

Calculated values
**Energy of formation from the pure elements**: -3.16 eV per formula unit

Cell lengths 3.6534, 6.5638, 6.6635 Å; angles 119.51, 105.91, 90.00 degrees
Fractional positions:
Al (0.5000, 0.0000, 0.0000)
Ni (0.6653, 0.8972, 0.3305)
Ni (0.3347, 0.5666, 0.6695)
Ni (0.1493, 0.1493, 0.2987)
Ni (0.0000, 0.2890, 0.0000)
Ni (0.8507, 0.8507, 0.7013)
Ni (0.6653, 0.4334, 0.3305)
Ni (0.3347, 0.1028, 0.6695)
Ni (0.0000, 0.7110, 0.0000)
As (0.1772, 0.6772, 0.3543)
As (0.8228, 0.3228, 0.6457)


[6]
The following is a PBE-GGA calculation of crystalline CoSeBr2 at its relaxed geometry, from Alexandria via LeMat-Bulk.

Calculated values
**Formation energy from raw total energies**: 0.45 eV/atom

Cell lengths 5.0870, 5.0936, 5.0917 Å; angles 63.94, 83.04, 116.03 degrees
Fractional positions:
Br (0.0000, 0.0000, 0.0000)
Br (0.5000, 0.0000, 0.5000)
Co (0.0000, 0.5000, 0.5000)
Se (0.5000, 0.5000, 0.0000)


[7]
The following is a PBE-GGA calculation of crystalline Li2Mg2GaAg4 at its relaxed geometry, from Alexandria via LeMat-Bulk.

Calculated values
**Energy of formation from the pure elements**: -1.45 eV per formula unit

Cell lengths 5.3345, 7.0141, 5.3867 Å; angles 119.05, 93.65, 103.94 degrees
Fractional positions:
Li (0.6250, 0.2471, 0.0641)
Li (0.3750, 0.7529, 0.9359)
Mg (0.1944, 0.8581, 0.4775)
Mg (0.8056, 0.1419, 0.5225)
Ga (0.0000, 0.0000, 0.0000)
Ag (0.8062, 0.5944, 0.9454)
Ag (0.6467, 0.7110, 0.5014)
Ag (0.1938, 0.4056, 0.0546)
Ag (0.3533, 0.2890, 0.4986)


[8]
The following is a PBE-GGA calculation of crystalline Er2TmPd3 at its relaxed geometry, from Alexandria via LeMat-Bulk.

Calculated values
**Polymorph energy (0 for the lowest one)**: 0.00 eV per formula unit
**Energy of formation from the pure elements**: -5.59 eV per formula unit

Cell lengths 3.4161, 4.9529, 14.8615 Å; angles 90.00, 90.00, 90.00 degrees
Fractional positions:
Er (0.9995, 0.0000, 0.6666)
Er (0.9995, 0.0000, 0.3334)
Er (0.0005, 0.5000, 0.1666)
Er (0.0005, 0.5000, 0.8334)
Tm (0.9986, 0.5000, 0.5000)
Tm (0.0014, 0.0000, 0.0000)
Pd (0.4993, 0.5000, 0.6655)
Pd (0.4988, 0.0000, 0.5000)
Pd (0.4993, 0.5000, 0.3345)
Pd (0.5007, 0.0000, 0.1655)
Pd (0.5012, 0.5000, 0.0000)
Pd (0.5007, 0.0000, 0.8345)


[9]
The following is a PBE-GGA calculation of crystalline Cd2GaIO at its relaxed geometry, from Alexandria via LeMat-Bulk.

Calculated values
**Formation energy from raw total energies**: -0.25 eV/atom

Cell lengths 4.6095, 6.0388, 4.6095 Å; angles 90.00, 90.00, 90.00 degrees
Fractional positions:
I (0.5000, 0.5000, 0.5000)
O (0.0000, 0.0000, 0.0000)
Ga (0.0000, 0.5000, 0.0000)
Cd (0.0000, 0.0000, 0.5000)
Cd (0.5000, 0.0000, 0.0000)


[10]
The following is a PBE-GGA calculation of crystalline Mg2RuBr at its relaxed geometry, from Alexandria via LeMat-Bulk.

Calculated values
**Formation energy from raw total energies**: -0.18 eV/atom
**Polymorph energy (0 for the lowest one)**: 0.15 eV per formula unit

Cell lengths 3.2663, 3.2663, 7.2748 Å; angles 90.00, 90.00, 90.00 degrees
Fractional positions:
Br (0.5000, 0.5000, 0.7500)
Mg (0.0000, 0.0000, 0.0420)
Mg (0.0000, 0.0000, 0.4580)
Ru (0.5000, 0.5000, 0.2500)


[11]
The following is a PBE-GGA calculation of crystalline Y2MnCl at its relaxed geometry, from Alexandria via LeMat-Bulk.

Calculated values
**Formation energy from raw total energies**: -0.07 eV/atom
**Polymorph energy (0 for the lowest one)**: 1.63 eV per formula unit

Cell lengths 5.1401, 5.1401, 5.1401 Å; angles 60.00, 60.00, 60.00 degrees
Fractional positions:
Y (0.2500, 0.2500, 0.2500)
Y (0.7500, 0.7500, 0.7500)
Mn (0.5000, 0.5000, 0.5000)
Cl (0.0000, 0.0000, 0.0000)


[12]
The following is a PBE-GGA calculation of crystalline TlBi2Cl6 at its relaxed geometry, from Alexandria via LeMat-Bulk.

Calculated values
**Formation energy from raw total energies**: -0.84 eV/atom
**Polymorph energy (0 for the lowest one)**: 0.22 eV per formula unit

Cell lengths 11.2054, 9.1752, 9.1752 Å; angles 92.47, 68.40, 68.40 degrees
Fractional positions:
Tl (0.2500, 0.0497, 0.9503)
Tl (0.7500, 0.9503, 0.0497)
Bi (0.2884, 0.5443, 0.6947)
Bi (0.2116, 0.3053, 0.4557)
Bi (0.7116, 0.4557, 0.3053)
Bi (0.7884, 0.6947, 0.5443)
Cl (0.5104, 0.6491, 0.6221)
Cl (0.9896, 0.3779, 0.3509)
Cl (0.4896, 0.3509, 0.3779)
Cl (0.0104, 0.6221, 0.6491)
Cl (0.8472, 0.8671, 0.3489)
Cl (0.6528, 0.6511, 0.1329)
Cl (0.1528, 0.1329, 0.6511)
Cl (0.3472, 0.3489, 0.8671)
Cl (0.1123, 0.7867, 0.9318)
Cl (0.3877, 0.0682, 0.2133)
Cl (0.8877, 0.2133, 0.0682)
Cl (0.6123, 0.9318, 0.7867)


[13]
The following is a PBE-GGA calculation of crystalline Y2Ho5Tm3 at its relaxed geometry, from Alexandria via LeMat-Bulk.

Calculated values
**Polymorph energy (0 for the lowest one)**: 0.00 eV per formula unit
**Energy of formation from the pure elements**: 2.06 eV per formula unit

Cell lengths 9.4528, 9.4713, 9.3874 Å; angles 108.45, 108.37, 111.92 degrees
Fractional positions:
Y (0.9717, 0.0175, 0.7517)
Y (0.0283, 0.9825, 0.2483)
Y (0.2800, 0.7342, 0.7517)
Y (0.7200, 0.2658, 0.2483)
Ho (0.2220, 0.4720, 0.9441)
Ho (0.7780, 0.5280, 0.0559)
Ho (0.9767, 0.7267, 0.4533)
Ho (0.4818, 0.2318, 0.4636)
Ho (0.0233, 0.2733, 0.5467)
Ho (0.5182, 0.7682, 0.5364)
Ho (0.8948, 0.6182, 0.7661)
Ho (0.1052, 0.3818, 0.2339)
Ho (0.3713, 0.1479, 0.7661)
Ho (0.6287, 0.8521, 0.2339)
Tm (0.2759, 0.0259, 0.0518)
Tm (0.7241, 0.9741, 0.9482)
Tm (0.5133, 0.4641, 0.2405)
Tm (0.4867, 0.5359, 0.7595)
Tm (0.2273, 0.7764, 0.2405)
Tm (0.7727, 0.2236, 0.7595)


[14]
The following is a PBE-GGA calculation of crystalline KZrRh2 at its relaxed geometry, from Alexandria via LeMat-Bulk.

Calculated values
**Polymorph energy (0 for the lowest one)**: 1.96 eV per formula unit
**Energy of formation from the pure elements**: 1.07 eV per formula unit

Cell lengths 4.8435, 4.8426, 3.2778 Å; angles 90.00, 90.00, 90.00 degrees
Fractional positions:
K (0.0000, 0.5000, 0.5000)
Rh (0.0000, 0.0000, 0.0000)
Rh (0.5000, 0.5000, 0.0000)
Zr (0.5000, 0.0000, 0.5000)


[15]
The following is a PBE-GGA calculation of crystalline Ba3YCr at its relaxed geometry, from Alexandria via LeMat-Bulk.

Calculated values
**Polymorph energy (0 for the lowest one)**: 1.90 eV per formula unit
**Energy of formation from the pure elements**: 5.47 eV per formula unit

Cell lengths 6.5726, 6.5726, 6.5726 Å; angles 90.00, 90.00, 90.00 degrees
Fractional positions:
Y (0.0000, 0.0000, 0.0000)
Cr (0.5000, 0.5000, 0.5000)
Ba (0.0000, 0.5000, 0.0000)
Ba (0.0000, 0.0000, 0.5000)
Ba (0.5000, 0.0000, 0.0000)


[16]
The following is a PBE-GGA calculation of crystalline Ac4NiPt3 at its relaxed geometry, from Alexandria via LeMat-Bulk.

Calculated values
**Energy of formation from the pure elements**: -7.35 eV per formula unit

Cell lengths 6.1817, 6.1817, 6.1817 Å; angles 90.00, 90.00, 90.00 degrees
Fractional positions:
Ni (0.0000, 0.0000, 0.0000)
Ac (0.5000, 0.0000, 0.0000)
Ac (0.0000, 0.5000, 0.0000)
Ac (0.0000, 0.0000, 0.5000)
Ac (0.5000, 0.5000, 0.5000)
Pt (0.0000, 0.5000, 0.5000)
Pt (0.5000, 0.0000, 0.5000)
Pt (0.5000, 0.5000, 0.0000)


[17]
The following is a PBE-GGA calculation of crystalline Tl4Sb at its relaxed geometry, from Alexandria via LeMat-Bulk.

Calculated values
**Formation energy from raw total energies**: 0.00 eV/atom
**Polymorph energy (0 for the lowest one)**: 0.00 eV per formula unit

Cell lengths 4.4893, 6.3764, 6.2277 Å; angles 82.94, 68.87, 69.39 degrees
Fractional positions:
Tl (0.7877, 0.8066, 0.6179)
Tl (0.2123, 0.1934, 0.3821)
Tl (0.4065, 0.3834, 0.8036)
Tl (0.5935, 0.6166, 0.1964)
Sb (0.0000, 0.0000, 0.0000)


[18]
The following is a PBE-GGA calculation of crystalline BaSrTiCd2 at its relaxed geometry, from Alexandria via LeMat-Bulk.

Calculated values
**Energy of formation from the pure elements**: 1.56 eV per formula unit

Cell lengths 5.5704, 5.6218, 5.5704 Å; angles 90.00, 90.00, 90.00 degrees
Fractional positions:
Sr (0.0000, 0.5000, 0.0000)
Ti (0.0000, 0.0000, 0.0000)
Ba (0.5000, 0.5000, 0.5000)
Cd (0.0000, 0.0000, 0.5000)
Cd (0.5000, 0.0000, 0.0000)


[19]
The following is a PBE-GGA calculation of crystalline CaZn2AsO6 at its relaxed geometry, from Alexandria via LeMat-Bulk.

Calculated values
**Formation energy from raw total energies**: -1.56 eV/atom

Cell lengths 6.7347, 7.0772, 7.0772 Å; angles 81.29, 68.89, 68.89 degrees
Fractional positions:
Ca (0.2500, 0.8036, 0.1964)
Ca (0.7500, 0.1964, 0.8036)
Zn (0.3903, 0.7141, 0.6222)
Zn (0.1097, 0.3778, 0.2859)
Zn (0.6097, 0.2859, 0.3778)
Zn (0.8903, 0.6222, 0.7141)
As (0.2500, 0.1543, 0.8457)
As (0.7500, 0.8457, 0.1543)
O (0.2247, 0.9201, 0.8430)
O (0.2753, 0.1570, 0.0799)
O (0.7753, 0.0799, 0.1570)
O (0.7247, 0.8430, 0.9201)
O (0.5094, 0.8232, 0.3348)
O (0.9906, 0.6652, 0.1768)
O (0.4906, 0.1768, 0.6652)
O (0.0094, 0.3348, 0.8232)
O (0.1414, 0.7063, 0.5432)
O (0.3586, 0.4568, 0.2937)
O (0.8586, 0.2937, 0.4568)
O (0.6414, 0.5432, 0.7063)


[20]
The following is a PBE-GGA calculation of crystalline TlGaSbTe3 at its relaxed geometry, from Alexandria via LeMat-Bulk.

Calculated values
**Formation energy from raw total energies**: -0.20 eV/atom

Cell lengths 4.6075, 9.1646, 10.1709 Å; angles 102.24, 90.00, 90.00 degrees
Fractional positions:
Tl (0.2500, 0.1900, 0.2359)
Tl (0.7500, 0.8100, 0.7641)
Ga (0.2500, 0.0856, 0.6111)
Ga (0.7500, 0.9144, 0.3889)
Sb (0.2500, 0.6659, 0.1289)
Sb (0.7500, 0.3341, 0.8711)
Te (0.7500, 0.8921, 0.1158)
Te (0.2500, 0.1079, 0.8842)
Te (0.2500, 0.7874, 0.4699)
Te (0.7500, 0.2126, 0.5301)
Te (0.7500, 0.4460, 0.1660)
Te (0.2500, 0.5540, 0.8340)


[21]
The following is a PBE-GGA calculation of crystalline GdMgHg2 at its relaxed geometry, from Alexandria via LeMat-Bulk.

Calculated values
**Energy of formation from the pure elements**: -1.58 eV per formula unit

Cell lengths 3.5488, 3.5488, 7.5022 Å; angles 90.00, 90.00, 90.00 degrees
Fractional positions:
Mg (0.5000, 0.5000, 0.0000)
Gd (0.5000, 0.5000, 0.5000)
Hg (0.0000, 0.0000, 0.7713)
Hg (0.0000, 0.0000, 0.2287)


[22]
The following is a PBE-GGA calculation of crystalline BaCeCd2Sn2 at its relaxed geometry, from Alexandria via LeMat-Bulk.

Calculated values
**Energy of formation from the pure elements**: -2.87 eV per formula unit

Cell lengths 4.9568, 4.9568, 8.7366 Å; angles 90.00, 90.00, 120.00 degrees
Fractional positions:
Ba (0.0000, 0.0000, 0.0000)
Ce (0.0000, 0.0000, 0.5000)
Cd (0.6667, 0.3333, 0.3173)
Cd (0.3333, 0.6667, 0.6827)
Sn (0.6667, 0.3333, 0.7333)
Sn (0.3333, 0.6667, 0.2667)


[23]
The following is a PBE-GGA calculation of crystalline PuTl2In at its relaxed geometry, from Alexandria via LeMat-Bulk.

Calculated values
**Polymorph energy (0 for the lowest one)**: 0.42 eV per formula unit
**Energy of formation from the pure elements**: 0.08 eV per formula unit

Cell lengths 3.8587, 3.8587, 7.4297 Å; angles 90.00, 90.00, 90.00 degrees
Fractional positions:
Tl (0.0000, 0.0000, 0.7632)
Tl (0.0000, 0.0000, 0.2368)
In (0.5000, 0.5000, 0.0000)
Pu (0.5000, 0.5000, 0.5000)


[24]
The following is a PBE-GGA calculation of crystalline Ac2LaPN5 at its relaxed geometry, from Alexandria via LeMat-Bulk.

Calculated values
**Formation energy from raw total energies**: -1.07 eV/atom

Cell lengths 7.0970, 7.0970, 7.4922 Å; angles 118.27, 118.27, 90.00 degrees
Fractional positions:
Ac (0.1823, 0.3177, 0.0000)
Ac (0.6823, 0.1823, 0.0000)
Ac (0.3177, 0.8177, 0.0000)
Ac (0.8177, 0.6823, 0.0000)
La (0.2500, 0.2500, 0.5000)
La (0.7500, 0.7500, 0.5000)
P (0.2500, 0.7500, 0.5000)
P (0.7500, 0.2500, 0.5000)
N (0.0281, 0.5281, 0.3180)
N (0.7101, 0.2101, 0.6820)
N (0.9719, 0.4719, 0.6820)
N (0.2101, 0.9719, 0.6820)
N (0.4719, 0.7101, 0.6820)
N (0.7899, 0.0281, 0.3180)
N (0.5281, 0.2899, 0.3180)
N (0.2899, 0.7899, 0.3180)
N (0.5000, 0.5000, 0.0000)
N (0.0000, 0.0000, 0.0000)